Entry from the Alexandria database: PrNdSmTh after structural relaxation (PBE).

## Properties
Fermi-level density of states   1.49 states/eV/atom
ρ   8.08 g cm⁻³
Energy relative to the elements   0.02 eV/atom
Space-group type   Cm, No. 8

Unit cell a=3.6525 b=3.6511 c=12.0671 alpha=90.00 beta=98.73 gamma=119.99
Atoms (fractional coordinates):
Nd (0.4767, 0.1362, 0.6270)
Sm (0.1317, 0.9639, 0.1082)
Pr (0.9670, 0.3816, 0.3655)
Th (0.3026, 0.5492, 0.8689)